# PrSm3Ho7

An optimized crystal structure of PrSm3Ho7 (PBE, the Alexandria database).

Values from the calculation:
As for the formation energy: 0.19 eV per atom. Its excess energy over the best structure of this formula in the dataset is 0.0396 eV per atom. The total energy is -48.9 eV for the cell shown.

The structure in CIF format:
```
data_PrSm3Ho7
_cell_length_a 7.0640
_cell_length_b 7.0640
_cell_length_c 8.6726
_cell_angle_alpha 90.00
_cell_angle_beta 90.00
_cell_angle_gamma 120.00
_symmetry_space_group_name_H-M 'P 3 m 1'
_symmetry_Int_Tables_number 156
loop_
_symmetry_equiv_pos_as_xyz
'x,y,z'
'-y,x-y,z'
'-x+y,-x,z'
'-y,-x,z'
'-x+y,y,z'
'x,x-y,z'
loop_
_atom_site_label
_atom_site_type_symbol
_atom_site_fract_x
_atom_site_fract_y
_atom_site_fract_z
Pr1 Pr 0.0000 0.0000 0.0000
Sm1 Sm 0.3344 0.1672 0.6611
Ho1 Ho 0.1662 0.3323 0.3274
Ho2 Ho 0.5010 0.0021 0.0003
Ho3 Ho 0.6667 0.3333 0.3250
```

***

# Pr5Sm4Ho3

An optimized crystal structure of Pr5Sm4Ho3 (PBE, the Alexandria database).

Values from the calculation:
As for the formation energy: 0.02 eV per atom. The total energy is -56.3 eV for the cell shown.

The structure in CIF format:
```
data_Pr5Sm4Ho3
_cell_length_a 6.3013
_cell_length_b 7.2670
_cell_length_c 8.9187
_cell_angle_alpha 90.01
_cell_angle_beta 90.20
_cell_angle_gamma 90.19
_symmetry_space_group_name_H-M 'P -1'
_symmetry_Int_Tables_number 2
loop_
_symmetry_equiv_pos_as_xyz
'x,y,z'
'-x,-y,-z'
loop_
_atom_site_label
_atom_site_type_symbol
_atom_site_fract_x
_atom_site_fract_y
_atom_site_fract_z
Pr1 Pr 0.0000 0.0000 0.0000
Pr2 Pr 0.3300 0.5000 0.3345
Pr3 Pr 0.4978 0.2508 0.9995
Sm1 Sm 0.1656 0.7499 0.6659
Sm2 Sm 0.3346 0.9998 0.3356
Ho1 Ho 0.0000 0.5000 0.0000
Ho2 Ho 0.1666 0.2497 0.6664
```

***

# Pr2SmHo3

An optimized crystal structure of Pr2SmHo3 (PBE, the Alexandria database).

Values from the calculation:
As for the formation energy: 0.10 eV per atom. Its excess energy over the best structure of this formula in the dataset is 0.0285 eV per atom. The total energy is -109.7 eV for the cell shown.

The structure in CIF format:
```
data_Pr2SmHo3
_cell_length_a 17.0426
_cell_length_b 5.5900
_cell_length_c 10.2157
_cell_angle_alpha 90.00
_cell_angle_beta 124.33
_cell_angle_gamma 90.00
_symmetry_space_group_name_H-M 'C 1 2/m 1'
_symmetry_Int_Tables_number 12
loop_
_symmetry_equiv_pos_as_xyz
'x,y,z'
'-x,-y,-z'
'-x,y,-z'
'x,-y,z'
'x+1/2,y+1/2,z'
'-x+1/2,-y+1/2,-z'
'-x+1/2,y+1/2,-z'
'x+1/2,-y+1/2,z'
loop_
_atom_site_label
_atom_site_type_symbol
_atom_site_fract_x
_atom_site_fract_y
_atom_site_fract_z
Pr1 Pr 0.0134 0.0000 0.3616
Pr2 Pr 0.2255 0.5000 0.3678
Sm1 Sm 0.1350 0.5000 0.6443
Ho1 Ho 0.0515 0.5000 0.8999
Ho2 Ho 0.1113 0.0000 0.1525
Ho3 Ho 0.2051 0.0000 0.9226
```

***

# Pr2SmHo9

An optimized crystal structure of Pr2SmHo9 (PBE, the Alexandria database).

Values from the calculation:
As for the formation energy: 0.02 eV per atom. Its excess energy over the best structure of this formula in the dataset is 0.0000 eV per atom. The total energy is -55.2 eV for the cell shown.

The structure in CIF format:
```
data_Pr2SmHo9
_cell_length_a 5.0376
_cell_length_b 5.0376
_cell_length_c 15.1233
_cell_angle_alpha 90.00
_cell_angle_beta 90.00
_cell_angle_gamma 90.00
_symmetry_space_group_name_H-M 'P 4/m m m'
_symmetry_Int_Tables_number 123
_symmetry_space_group_name_Hall '-P 4 2'
loop_
_atom_site_label
_atom_site_type_symbol
_atom_site_fract_x
_atom_site_fract_y
_atom_site_fract_z
Pr1 Pr 0.0000 0.0000 0.1670
Sm1 Sm 0.0000 0.0000 0.5000
Ho1 Ho 0.0000 0.5000 0.0000
Ho2 Ho 0.0000 0.5000 0.3347
Ho3 Ho 0.5000 0.5000 0.1675
Ho4 Ho 0.5000 0.5000 0.5000
```

***

# Pr6Sm5Ho

An optimized crystal structure of Pr6Sm5Ho (PBE, the Alexandria database).

Values from the calculation:
As for the formation energy: 0.01 eV per atom. The total energy is -113.4 eV for the cell shown.

The structure in CIF format:
```
data_Pr6Sm5Ho
_cell_length_a 6.3590
_cell_length_b 11.0171
_cell_length_c 12.0795
_cell_angle_alpha 90.00
_cell_angle_beta 100.11
_cell_angle_gamma 90.00
_symmetry_space_group_name_H-M 'C 1 2/m 1'
_symmetry_Int_Tables_number 12
loop_
_symmetry_equiv_pos_as_xyz
'x,y,z'
'-x,-y,-z'
'-x,y,-z'
'x,-y,z'
'x+1/2,y+1/2,z'
'-x+1/2,-y+1/2,-z'
'-x+1/2,y+1/2,-z'
'x+1/2,-y+1/2,z'
loop_
_atom_site_label
_atom_site_type_symbol
_atom_site_fract_x
_atom_site_fract_y
_atom_site_fract_z
Pr1 Pr 0.2487 0.1663 0.2490
Pr2 Pr 0.2503 0.0000 0.7508
Sm1 Sm 0.0000 0.1665 0.5000
Sm2 Sm 0.0000 0.3332 0.0000
Sm3 Sm 0.0000 0.5000 0.5000
Ho1 Ho 0.0000 0.0000 0.0000
```

***

# Pr5SmHo12

An optimized crystal structure of Pr5SmHo12 (PBE, the Alexandria database).

Values from the calculation:
As for the formation energy: 0.10 eV per atom. The total energy is -163.6 eV for the cell shown.

The structure in CIF format:
```
data_Pr5SmHo12
_cell_length_a 11.4412
_cell_length_b 17.3380
_cell_length_c 5.9646
_cell_angle_alpha 90.00
_cell_angle_beta 90.00
_cell_angle_gamma 90.00
_symmetry_space_group_name_H-M 'C 1 2/m 1'
_symmetry_Int_Tables_number 12
loop_
_symmetry_equiv_pos_as_xyz
'x,y,z'
'-x,-y,-z'
'-x,y,-z'
'x,-y,z'
'x+1/2,y+1/2,z'
'-x+1/2,-y+1/2,-z'
'-x+1/2,y+1/2,-z'
'x+1/2,-y+1/2,z'
loop_
_atom_site_label
_atom_site_type_symbol
_atom_site_fract_x
_atom_site_fract_y
_atom_site_fract_z
Pr1 Pr 0.0000 0.0000 0.0000
Pr2 Pr 0.0000 0.1656 0.5000
Pr3 Pr 0.0000 0.3343 0.0000
Sm1 Sm 0.0000 0.5000 0.5000
Ho1 Ho 0.1784 0.1666 0.9481
Ho2 Ho 0.1775 0.3336 0.5517
Ho3 Ho 0.1780 0.5000 0.9437
Ho4 Ho 0.1806 0.0000 0.5560
```

***

# Pr12Sm2Ho7

An optimized crystal structure of Pr12Sm2Ho7 (PBE, the Alexandria database).

Values from the calculation:
As for the formation energy: 0.05 eV per atom. The total energy is -97.9 eV for the cell shown.

The structure in CIF format:
```
data_Pr12Sm2Ho7
_cell_length_a 15.2075
_cell_length_b 15.2075
_cell_length_c 3.6024
_cell_angle_alpha 90.00
_cell_angle_beta 90.00
_cell_angle_gamma 120.00
_symmetry_space_group_name_H-M 'P -6'
_symmetry_Int_Tables_number 174
loop_
_symmetry_equiv_pos_as_xyz
'x,y,z'
'-x+y,-x,-z'
'-y,x-y,z'
'x,y,-z'
'-x+y,-x,z'
'-y,x-y,-z'
loop_
_atom_site_label
_atom_site_type_symbol
_atom_site_fract_x
_atom_site_fract_y
_atom_site_fract_z
Pr1 Pr 0.0514 0.7970 0.0000
Pr2 Pr 0.1271 0.4154 0.5000
Pr3 Pr 0.4138 0.2623 0.5000
Pr4 Pr 0.4952 0.0970 0.0000
Sm1 Sm 0.0000 0.0000 0.5000
Sm2 Sm 0.3333 0.6667 0.0000
Ho1 Ho 0.0991 0.6207 0.5000
Ho2 Ho 0.2315 0.0449 0.0000
Ho3 Ho 0.6667 0.3333 0.5000
```

***

# Pr4Sm10Ho

An optimized crystal structure of Pr4Sm10Ho (PBE, the Alexandria database).

Values from the calculation:
As for the formation energy: 0.32 eV per atom. The total energy is -132.1 eV for the cell shown.

The structure in CIF format:
```
data_Pr4Sm10Ho
_cell_length_a 9.9371
_cell_length_b 9.9371
_cell_length_c 10.6323
_cell_angle_alpha 90.00
_cell_angle_beta 90.00
_cell_angle_gamma 90.00
_symmetry_space_group_name_H-M 'I 4/m'
_symmetry_Int_Tables_number 87
_symmetry_space_group_name_Hall '-I 4'
loop_
_atom_site_label
_atom_site_type_symbol
_atom_site_fract_x
_atom_site_fract_y
_atom_site_fract_z
Pr1 Pr 0.0603 0.6714 0.0000
Sm1 Sm 0.0000 0.5000 0.2500
Sm2 Sm 0.1148 0.7926 0.3385
Ho1 Ho 0.0000 0.0000 0.0000
```

***

# Pr16Sm7Ho6

An optimized crystal structure of Pr16Sm7Ho6 (PBE, the Alexandria database).

Values from the calculation:
As for the formation energy: 0.21 eV per atom. The total energy is -523.1 eV for the cell shown.

The structure in CIF format:
```
data_Pr16Sm7Ho6
_cell_length_a 16.1583
_cell_length_b 16.1583
_cell_length_c 16.1583
_cell_angle_alpha 90.00
_cell_angle_beta 90.00
_cell_angle_gamma 90.00
_symmetry_space_group_name_H-M 'F m -3 m'
_symmetry_Int_Tables_number 225
_symmetry_space_group_name_Hall '-F 4 2 3'
loop_
_atom_site_label
_atom_site_type_symbol
_atom_site_fract_x
_atom_site_fract_y
_atom_site_fract_z
Pr1 Pr 0.1252 0.1252 0.1252
Pr2 Pr 0.1499 0.1499 0.3501
Sm1 Sm 0.0000 0.0000 0.0000
Sm2 Sm 0.0000 0.2500 0.2500
Ho1 Ho 0.0000 0.0000 0.2634
```

***

# Pr3Sm7Ho

An optimized crystal structure of Pr3Sm7Ho (PBE, the Alexandria database).

Values from the calculation:
As for the formation energy: 0.17 eV per atom. Its excess energy over the best structure of this formula in the dataset is 0.0000 eV per atom. The total energy is -50.1 eV for the cell shown.

The structure in CIF format:
```
data_Pr3Sm7Ho
_cell_length_a 7.2053
_cell_length_b 7.2053
_cell_length_c 8.8098
_cell_angle_alpha 90.00
_cell_angle_beta 90.00
_cell_angle_gamma 120.00
_symmetry_space_group_name_H-M 'P 3 m 1'
_symmetry_Int_Tables_number 156
loop_
_symmetry_equiv_pos_as_xyz
'x,y,z'
'-y,x-y,z'
'-x+y,-x,z'
'-y,-x,z'
'-x+y,y,z'
'x,x-y,z'
loop_
_atom_site_label
_atom_site_type_symbol
_atom_site_fract_x
_atom_site_fract_y
_atom_site_fract_z
Pr1 Pr 0.0005 0.5003 0.0000
Sm1 Sm 0.1673 0.3347 0.6635
Sm2 Sm 0.3343 0.1672 0.3340
Sm3 Sm 0.6667 0.3333 0.6588
Ho1 Ho 0.3333 0.6667 0.3399
```

***

# PrSmHo

An optimized crystal structure of PrSmHo (PBE, the Alexandria database).

Values from the calculation:
As for the formation energy: 0.00 eV per atom. Its excess energy over the best structure of this formula in the dataset is 0.0000 eV per atom. The total energy is -28.1 eV for the cell shown.

The structure in CIF format:
```
data_PrSmHo
_cell_length_a 3.6044
_cell_length_b 3.6295
_cell_length_c 17.7402
_cell_angle_alpha 89.92
_cell_angle_beta 89.92
_cell_angle_gamma 60.27
_symmetry_space_group_name_H-M 'P -1'
_symmetry_Int_Tables_number 2
loop_
_symmetry_equiv_pos_as_xyz
'x,y,z'
'-x,-y,-z'
loop_
_atom_site_label
_atom_site_type_symbol
_atom_site_fract_x
_atom_site_fract_y
_atom_site_fract_z
Pr1 Pr 0.0060 0.4845 0.2461
Sm1 Sm 0.3356 0.8282 0.4180
Ho1 Ho 0.3351 0.8251 0.0795
```

***

# PrSmHo

An optimized crystal structure of PrSmHo (PBE, the Alexandria database).

Values from the calculation:
As for the formation energy: 0.07 eV per atom. Its excess energy over the best structure of this formula in the dataset is 0.0625 eV per atom. The total energy is -13.9 eV for the cell shown.

The structure in CIF format:
```
data_PrSmHo
_cell_length_a 5.7295
_cell_length_b 5.7295
_cell_length_c 3.5242
_cell_angle_alpha 90.00
_cell_angle_beta 90.00
_cell_angle_gamma 120.00
_symmetry_space_group_name_H-M 'P 3 m 1'
_symmetry_Int_Tables_number 156
loop_
_symmetry_equiv_pos_as_xyz
'x,y,z'
'-y,x-y,z'
'-x+y,-x,z'
'-y,-x,z'
'-x+y,y,z'
'x,x-y,z'
loop_
_atom_site_label
_atom_site_type_symbol
_atom_site_fract_x
_atom_site_fract_y
_atom_site_fract_z
Pr1 Pr 0.0000 0.0000 0.0000
Sm1 Sm 0.6667 0.3333 0.4993
Ho1 Ho 0.3333 0.6667 0.9983
```